# PBE ZrTeF2, relaxed
data_ZrTeF2
_cell_length_a 7.896
_cell_length_b 7.896
_cell_length_c 7.896
_cell_angle_alpha 147.70
_cell_angle_beta 147.70
_cell_angle_gamma 46.33
_space_group_name_H-M_alt 'P 1'
_space_group_IT_number 1
loop_
_space_group_symop_operation_xyz
'x,y,z'
loop_
_atom_site_label
_atom_site_fract_x
_atom_site_fract_y
_atom_site_fract_z
_atom_site_occupancy
Zr1 0.000 0.000 0.000 1
Zr2 0.750 0.250 0.500 1
Te1 0.250 0.750 0.500 1
Te2 0.500 0.500 0.000 1
F1 0.375 0.179 0.304 1
F2 0.821 0.125 0.196 1
F3 0.875 0.071 0.696 1
F4 0.929 0.625 0.804 1
# Uncorrected formation energy = -2043 meV per atom

---

# PBE GdTmTc, relaxed
data_GdTmTc
_cell_length_a 6.664
_cell_length_b 6.664
_cell_length_c 6.664
_cell_angle_alpha 149.96
_cell_angle_beta 149.96
_cell_angle_gamma 43.01
_space_group_name_H-M_alt 'P 1'
_space_group_IT_number 1
loop_
_space_group_symop_operation_xyz
'x,y,z'
loop_
_atom_site_label
_atom_site_fract_x
_atom_site_fract_y
_atom_site_fract_z
_atom_site_occupancy
Gd1 0.000 0.000 0.000 1
Tm1 0.261 0.261 0.000 1
Tc1 0.634 0.634 0.000 1
# Formation energy = -57 meV/atom

---

# PBE CsAc2CdS4, relaxed
data_CsAc2CdS4
_cell_length_a 7.839
_cell_length_b 7.839
_cell_length_c 15.098
_cell_angle_alpha 90.00
_cell_angle_beta 90.00
_cell_angle_gamma 147.16
_space_group_name_H-M_alt 'P 1'
_space_group_IT_number 1
loop_
_space_group_symop_operation_xyz
'x,y,z'
loop_
_atom_site_label
_atom_site_fract_x
_atom_site_fract_y
_atom_site_fract_z
_atom_site_occupancy
Cs1 0.110 0.890 0.750 1
Cs2 0.890 0.110 0.250 1
Ac1 0.373 0.627 0.553 1
Ac2 0.373 0.627 0.947 1
Ac3 0.627 0.373 0.053 1
Ac4 0.627 0.373 0.447 1
Cd1 0.165 0.835 0.250 1
Cd2 0.835 0.165 0.750 1
S1 0.000 0.000 0.000 1
S2 0.000 0.000 0.500 1
S3 0.259 0.741 0.107 1
S4 0.259 0.741 0.393 1
S5 0.424 0.576 0.750 1
S6 0.576 0.424 0.250 1
S7 0.741 0.259 0.607 1
S8 0.741 0.259 0.893 1
# Uncorrected formation energy = -1564 meV per atom

---

# PBE CdTe2F, relaxed
data_CdTe2F
_cell_length_a 4.624
_cell_length_b 6.201
_cell_length_c 7.790
_cell_angle_alpha 89.30
_cell_angle_beta 89.95
_cell_angle_gamma 83.09
_space_group_name_H-M_alt 'P 1'
_space_group_IT_number 1
loop_
_space_group_symop_operation_xyz
'x,y,z'
loop_
_atom_site_label
_atom_site_fract_x
_atom_site_fract_y
_atom_site_fract_z
_atom_site_occupancy
Cd1 0.209 0.201 0.414 1
Cd2 0.791 0.799 0.586 1
Te1 0.112 0.408 0.751 1
Te2 0.230 0.895 0.109 1
Te3 0.770 0.105 0.891 1
Te4 0.888 0.592 0.249 1
F1 0.292 0.866 0.570 1
F2 0.708 0.134 0.430 1
# Uncorrected formation energy = -813 meV per atom

---

# PBE CeEr3Os2, relaxed
data_CeEr3Os2
_cell_length_a 8.299
_cell_length_b 8.299
_cell_length_c 8.299
_cell_angle_alpha 132.23
_cell_angle_beta 71.59
_cell_angle_gamma 130.06
_space_group_name_H-M_alt 'P 1'
_space_group_IT_number 1
loop_
_space_group_symop_operation_xyz
'x,y,z'
loop_
_atom_site_label
_atom_site_fract_x
_atom_site_fract_y
_atom_site_fract_z
_atom_site_occupancy
Ce1 0.000 0.000 0.000 1
Ce2 0.500 0.500 0.000 1
Er1 0.008 0.250 0.758 1
Er2 0.250 0.750 0.500 1
Er3 0.492 0.250 0.242 1
Er4 0.508 0.750 0.758 1
Er5 0.750 0.250 0.500 1
Er6 0.992 0.750 0.242 1
Os1 0.128 0.739 0.868 1
Os2 0.372 0.239 0.611 1
Os3 0.628 0.761 0.389 1
Os4 0.872 0.261 0.132 1
# Formation energy = -250 meV/atom

---

# PBE BaBe3Cd, relaxed
data_BaBe3Cd
_cell_length_a 5.736
_cell_length_b 5.736
_cell_length_c 5.736
_cell_angle_alpha 90.00
_cell_angle_beta 90.00
_cell_angle_gamma 90.00
_space_group_name_H-M_alt 'P 1'
_space_group_IT_number 1
loop_
_space_group_symop_operation_xyz
'x,y,z'
loop_
_atom_site_label
_atom_site_fract_x
_atom_site_fract_y
_atom_site_fract_z
_atom_site_occupancy
Ba1 0.000 0.000 0.000 1
Be1 0.000 0.000 0.500 1
Be2 0.000 0.500 0.000 1
Be3 0.500 0.000 0.000 1
Cd1 0.500 0.500 0.500 1
# Formation energy = 2018 meV/atom

---

| no. | E (eV/cell) |
| --- | --- |
| 1 | -47.206 |
| 2 | -29.089 |
| 3 | -78.007 |
| 4 | -24.642 |
| 5 | -87.170 |
| 6 | -3.926 |